1.
Material: PmCu13
Method: DFT, PBE
State: optimized geometry

The structure in extended XYZ format:
```
28
Lattice="-5.023 -3.922 5.116 2.133 -7.280 3.041 1.958 -0.713 7.902" Properties=species:S:1:pos:R:3 pbc="T T T"
Pm -0.699 -8.936 12.045
Pm -0.233 -2.979 4.015
Cu -0.599 -5.956 5.549
Cu 1.540 -6.911 6.917
Cu -2.472 -5.003 9.143
Cu -0.332 -5.959 10.511
Cu -0.729 -8.156 6.905
Cu -1.949 -7.536 9.247
Cu 1.017 -4.379 6.813
Cu -0.203 -3.758 9.155
Cu -2.676 -6.455 7.010
Cu -1.538 -3.993 6.951
Cu 0.606 -7.921 9.109
Cu 1.744 -5.459 9.049
Cu 0.628 -8.034 4.868
Cu 1.766 -5.572 4.808
Cu -2.698 -6.342 11.252
Cu -1.560 -3.880 11.192
Cu 1.840 -6.949 11.065
Cu 3.060 -7.570 8.723
Cu -3.992 -4.345 7.337
Cu -2.772 -4.965 4.995
Cu 0.015 -2.124 7.265
Cu 2.154 -3.079 8.632
Cu -3.086 -8.835 7.428
Cu -0.947 -9.790 8.795
Cu -0.466 -5.957 8.030
Cu 0.000 0.000 0.000
```

- ΔH_f (0 K) (eV per formula unit) = -0.741
- VASP energy (hartree per atom) = -0.15419

---

2.
Material: BeCrSi
Method: DFT, PBE
State: optimized geometry

The structure in extended XYZ format:
```
3
Lattice="-0.226 -1.741 -5.503 -1.107 -4.445 -3.518 -0.998 3.574 4.427" Properties=species:S:1:pos:R:3 pbc="T T T"
Cr -0.451 -2.093 -3.053
Si -0.886 -4.115 -6.000
Be -1.327 -6.164 -8.990
```

- VASP energy (hartree per atom) = -0.22252
- formation energy without anion corrections (eV/atom) = 0.20

---

3.
Material: Pr3Pt2Au4
Method: DFT, PBE
State: optimized geometry

The structure in extended XYZ format:
```
9
Lattice="4.145 0.000 1.106 1.765 5.779 1.705 -0.118 -0.293 8.764" Properties=species:S:1:pos:R:3 pbc="T T T"
Pr 2.540 4.074 7.122
Pr 0.000 0.000 0.000
Pr 3.252 1.411 4.452
Pt 3.269 5.437 4.388
Pt 2.523 0.049 7.186
Au 1.769 2.215 1.691
Au 4.023 3.271 9.884
Au 0.560 1.750 6.223
Au 5.232 3.736 5.352
```

- ΔH_f (0 K) (eV per formula unit) = -7.549
- VASP energy (hartree per atom) = -0.19223

---

4.
Material: Ti3TlSe6
Method: DFT, PBE
State: optimized geometry

The structure in extended XYZ format:
```
20
Lattice="-3.516 -0.619 0.256 2.171 -10.205 5.132 -0.763 7.839 8.464" Properties=species:S:1:pos:R:3 pbc="T T T"
Ti -2.239 -0.330 5.969
Ti 0.131 -2.655 7.884
Ti -1.278 -5.560 6.521
Ti -0.830 2.575 7.331
Ti -1.195 -3.623 12.347
Ti -0.913 0.638 1.505
Tl -1.971 0.210 10.953
Tl -0.137 -3.195 2.899
Se -2.696 2.121 5.630
Se 0.587 -5.106 8.222
Se -2.376 -1.490 1.289
Se 0.268 -1.495 12.563
Se -1.521 -2.820 9.810
Se -0.587 -0.165 4.042
Se -1.754 -3.034 6.100
Se -0.355 0.049 7.752
Se -2.542 2.718 9.183
Se 0.434 -5.703 4.670
Se -0.778 -8.166 7.083
Se -1.330 5.182 6.770
```

- VASP energy (hartree per atom) = -0.20862
- formation energy without anion corrections (eV/atom) = -0.98

---

5.
Material: AlGaAu2
Method: DFT, PBE
State: optimized geometry

The structure in extended XYZ format:
```
4
Lattice="-1.929 2.970 0.715 -3.614 -1.993 -1.469 -0.813 -1.499 4.035" Properties=species:S:1:pos:R:3 pbc="T T T"
Au -0.407 -0.750 2.018
Au -1.807 -0.997 -0.734
Al -3.178 -0.261 1.641
Ga -0.964 1.485 0.358
```

- ΔH_f (0 K) (eV per formula unit) = -0.545
- VASP energy (hartree per atom) = -0.12742

---

6.
Material: AgWS4N
Method: DFT, PBE
State: optimized geometry

The structure in extended XYZ format:
```
7
Lattice="5.265 -1.501 -3.702 -1.598 5.940 2.418 1.279 -3.374 5.537" Properties=species:S:1:pos:R:3 pbc="T T T"
Ag 1.834 2.219 -0.642
W 0.000 0.000 0.000
S 2.051 -0.274 -0.809
S 0.775 -1.227 5.804
S 3.561 3.445 0.700
S 3.504 0.184 2.810
N 0.757 2.392 3.656
```

- VASP energy (hartree per atom) = -0.19192
- formation energy without anion corrections (eV/atom) = 0.58